Record 1
Density functional theory data (GGA-PBE) for a relaxed structure of GaGeRh.

Output
Mass density: 8.88 g cm⁻³
DFT total energy: -5.32 eV per atom
N(E_F): 1.7 states/eV/cell
E_form: -317 meV per atom
Space-group type: No. 107
Calculated volume: 46 Å³/cell
Energy above the lowest structure with this stoichiometry: 1.97 kcal/mol of atoms

a = 4.7227 Å, b = 4.7227 Å, c = 4.7227 Å
α = 138.46°, β = 138.46°, γ = 60.20°
Positions (direct):
Ga (0.0000, 0.0000, 0.0000)
Ge (0.3212, 0.3212, 0.0000)
Rh (0.6656, 0.6656, 0.0000)


Record 2
Density functional theory data (GGA-PBE) for a relaxed structure of Cs2KHg2.

Output
Mass density: 4.34 g cm⁻³
DFT total energy: -0.79 eV per atom
N(E_F): 13.5 states/eV/cell
E_form: -112 meV per atom
Space-group type: No. 127
Calculated volume: 540 Å³/cell
Energy above the lowest structure with this stoichiometry: 2.03 kcal/mol of atoms

a = 11.0275 Å, b = 11.0275 Å, c = 4.4409 Å
α = 90.00°, β = 90.00°, γ = 90.00°
Positions (direct):
Cs (0.1432, 0.3568, 0.0000)
Cs (0.3568, 0.8568, 0.0000)
Cs (0.6432, 0.1432, 0.0000)
Cs (0.8568, 0.6432, 0.0000)
K (0.0000, 0.0000, 0.0000)
K (0.5000, 0.5000, 0.0000)
Hg (0.1491, 0.6491, 0.5000)
Hg (0.3509, 0.1491, 0.5000)
Hg (0.6491, 0.8509, 0.5000)
Hg (0.8509, 0.3509, 0.5000)